(1)
Computed, not measured: crystalline SrCeNp4N8 at its relaxed geometry at the PBE level of DFT.

POSCAR file:
```
SrCeNp4N8
1.0
6.882 0.000 0.000
3.441 5.960 0.000
3.441 1.987 5.673
Sr Ce Np N
1 1 4 8
direct
0.999 0.999 0.003 Sr
0.385 0.385 0.845 Ce
0.618 0.618 0.147 Np
0.000 0.499 0.500 Np
0.499 0.000 0.500 Np
0.000 0.000 0.500 Np
0.254 0.795 0.697 N
0.795 0.254 0.697 N
0.254 0.254 0.697 N
0.233 0.233 0.300 N
0.740 0.219 0.300 N
0.219 0.740 0.300 N
0.740 0.740 0.300 N
0.763 0.763 0.712 N
```

Computed properties:
space group = R3m (160)
final energy = -140.3 eV for the cell shown
E_form (uncorrected) = -1.02 eV/atom

***

(2)
Computed, not measured: crystalline Tb2GdZn at its relaxed geometry at the PBE level of DFT.

POSCAR file:
```
Tb2GdZn
1.0
-2.063 -0.387 -2.899
-0.957 -3.272 -1.092
-9.484 -0.732 4.635
Zn Gd Tb
1 1 2
direct
0.000 0.000 0.000 Zn
0.500 0.500 0.500 Gd
0.261 0.261 0.217 Tb
0.739 0.739 0.783 Tb
```

Computed properties:
space group = R-3m (166)
energy above the lowest structure with this stoichiometry = 2.38 kcal/mol of atoms
final energy = -24.8 eV for the cell shown

***

(3)
Computed, not measured: crystalline SmTmMgSc at its relaxed geometry at the PBE level of DFT.

POSCAR file:
```
SmTmMgSc
1.0
-0.560 2.988 1.384
-1.969 -1.455 2.344
8.239 -2.739 5.218
Sm Tm Mg Sc
1 1 1 1
direct
0.433 0.930 0.867 Sm
0.279 0.430 0.557 Tm
0.055 0.428 0.111 Mg
0.663 0.930 0.326 Sc
```

Computed properties:
space group = Cm (8)
energy above the lowest structure with this stoichiometry = 1.65 kcal/mol of atoms
final energy = -16.7 eV for the cell shown

***

(4)
Computed, not measured: crystalline Pr3Nd4Tl2 at its relaxed geometry at the PBE level of DFT.

POSCAR file:
```
Pr3Nd4Tl2
1.0
6.622 0.169 0.121
0.481 9.477 -1.754
0.481 1.393 9.537
Pr Nd Tl
6 8 4
direct
0.907 0.048 0.177 Pr
0.593 0.823 0.952 Pr
0.093 0.952 0.823 Pr
0.407 0.177 0.048 Pr
0.250 0.530 0.470 Pr
0.750 0.470 0.530 Pr
0.422 0.892 0.319 Nd
0.078 0.681 0.108 Nd
0.578 0.108 0.681 Nd
0.922 0.319 0.892 Nd
0.082 0.175 0.520 Nd
0.418 0.480 0.825 Nd
0.918 0.825 0.480 Nd
0.582 0.520 0.175 Nd
0.543 0.222 0.368 Tl
0.957 0.632 0.778 Tl
0.457 0.778 0.632 Tl
0.043 0.368 0.222 Tl
```

Computed properties:
space group = C2/c (15)
final energy = -78.0 eV for the cell shown

***

| no. | magnetic moment (Bohr magnetons per cell) |
| --- | --- |
| 1 | 10.00 |
| 2 | 7.21 |
| 3 | 0.07 |
| 4 | 0.00 |